1.
This record from Alexandria via LeMat-Bulk describes a relaxed Ta3MnCu crystal. The functional is PBE.

Geometry as POSCAR:
```
Ta3MnCu
1.0
4.575 0.000 0.000
0.000 4.575 0.000
0.000 0.000 4.575
Ta Mn Cu
3 1 1
Direct
0.000 0.000 0.500
0.000 0.500 0.000
0.500 0.000 0.000
0.500 0.500 0.500
0.000 0.000 0.000
```

## Properties
DFT total energy	-8.1775	eV per atom
energy relative to the elements	1.587	eV/atom

2.
This record from Alexandria via LeMat-Bulk describes a relaxed YTa2MnCu crystal. The functional is PBE.

Geometry as POSCAR:
```
YTa2MnCu
1.0
4.551 0.000 0.000
0.000 4.551 0.000
0.000 0.000 4.823
Y Ta Mn Cu
1 2 1 1
Direct
0.000 0.000 0.000
0.000 0.500 0.500
0.500 0.000 0.500
0.500 0.500 0.500
0.500 0.500 0.000
```

## Properties
DFT total energy	-8.1112	eV per atom
energy relative to the elements	0.576	eV/atom

3.
This record from Alexandria via LeMat-Bulk describes a relaxed TaMnZnCu2 crystal. The functional is PBE.

Geometry as POSCAR:
```
TaMnZnCu2
1.0
4.825 0.000 0.000
0.000 4.825 0.000
0.000 0.000 4.497
Ta Mn Zn Cu
1 1 1 2
Direct
0.000 0.000 0.000
0.000 0.000 0.500
0.500 0.500 0.500
0.000 0.500 0.000
0.500 0.000 0.000
```

## Properties
DFT total energy	-4.6789	eV per atom
energy relative to the elements	1.419	eV/atom

4.
This record from Alexandria via LeMat-Bulk describes a relaxed Tb2MnCu crystal. The functional is PBE.

Geometry as POSCAR:
```
Tb2MnCu
1.0
1.623 0.937 10.313
-1.623 0.937 10.313
0.000 -1.874 10.313
Tb Mn Cu
2 1 1
Direct
0.093 0.093 0.093
0.907 0.907 0.907
0.000 0.000 0.000
0.500 0.500 0.500
```

## Properties
DFT total energy	-5.0589	eV per atom
energy relative to the elements	0.573	eV/atom